(1)
GGA-PBE AlCoSe, optimized geometry; energy relative to the elements, uncorrected = 30.0 kJ/mol of atoms; space group = F-43m (216); ΔE to the lowest computed polymorph = 12.32 kcal/mol of atoms
1.0
0.000 2.952 2.952
2.952 0.000 2.952
2.952 2.952 0.000
Al Co Se
1 1 1
Direct
0.000 0.000 0.000 Al
0.750 0.750 0.750 Co
0.250 0.250 0.250 Se



(2)
GGA-PBE AlCoSe, optimized geometry; energy relative to the elements, uncorrected = 1.4 kJ/mol of atoms; space group = I4mm (107); ΔE to the lowest computed polymorph = 5.48 kcal/mol of atoms
1.0
-1.462 1.462 5.431
1.462 -1.462 5.431
1.462 1.462 -5.431
Al Co Se
1 1 1
Direct
0.000 0.000 0.000 Al
0.365 0.365 0.000 Co
0.733 0.733 0.000 Se



(3)
GGA-PBE AlCoSe, optimized geometry; energy relative to the elements, uncorrected = -21.5 kJ/mol of atoms; space group = F-43m (216); ΔE to the lowest computed polymorph = 0.00 kcal/mol of atoms
1.0
0.000 2.846 2.846
2.846 0.000 2.846
2.846 2.846 0.000
Al Co Se
1 1 1
Direct
0.000 0.000 0.000 Al
0.750 0.750 0.750 Co
0.500 0.500 0.500 Se



(4)
GGA-PBE AlCoSe, optimized geometry; energy relative to the elements, uncorrected = -6.8 kJ/mol of atoms; space group = P3m1 (156); ΔE to the lowest computed polymorph = 3.52 kcal/mol of atoms
1.0
3.186 0.000 0.000
-1.593 2.759 0.000
0.000 0.000 5.330
Al Co Se
1 1 1
Direct
0.000 0.000 0.000 Al
0.333 0.667 0.314 Co
0.667 0.333 0.597 Se



(5)
GGA-PBE AlCoSe4, optimized geometry; energy relative to the elements, uncorrected = 81.9 kJ/mol of atoms; space group = F-43m (216)
1.0
0.000 4.028 4.028
4.028 0.000 4.028
4.028 4.028 0.000
Al Co Se
1 1 4
Direct
0.000 0.000 0.000 Al
0.750 0.750 0.750 Co
0.376 0.376 0.376 Se
0.376 0.376 0.872 Se
0.376 0.872 0.376 Se
0.872 0.376 0.376 Se



(6)
GGA-PBE AlCoSe, optimized geometry; energy relative to the elements, uncorrected = 4.7 kJ/mol of atoms; space group = Cmcm (63); ΔE to the lowest computed polymorph = 6.26 kcal/mol of atoms
1.0
1.425 -9.734 0.000
1.425 9.734 0.000
0.000 0.000 4.233
Al Co Se
2 2 2
Direct
0.093 0.907 0.750 Al
0.907 0.093 0.250 Al
0.500 0.500 0.000 Co
0.500 0.500 0.500 Co
0.169 0.831 0.250 Se
0.831 0.169 0.750 Se



(7)
GGA-PBE TaAlCo2Se, optimized geometry; energy relative to the elements, uncorrected = 99.4 kJ/mol of atoms; space group = P4/mmm (123)
1.0
4.608 0.000 0.000
0.000 4.608 0.000
0.000 0.000 4.879
Ta Al Co Se
1 1 2 1
Direct
0.000 0.000 0.000 Ta
0.500 0.500 0.500 Al
0.000 0.500 0.000 Co
0.500 0.000 0.000 Co
0.000 0.000 0.500 Se



(8)
GGA-PBE AlCoTc2Se, optimized geometry; energy relative to the elements, uncorrected = 85.6 kJ/mol of atoms; space group = P4/mmm (123)
1.0
4.477 0.000 0.000
0.000 4.477 0.000
0.000 0.000 4.318
Al Co Tc Se
1 1 2 1
Direct
0.000 0.000 0.000 Al
0.000 0.000 0.500 Co
0.000 0.500 0.500 Tc
0.500 0.000 0.500 Tc
0.500 0.500 0.000 Se



Question: Among the records above, which one has the highest energy relative to the elements, uncorrected?
Answer: TaAlCo2Se